Here is PrTaAsO after structural relaxation from OQMD via LeMat-Bulk. Energies are from PBE.

POSCAR file:
```
PrTaAsO
1.0
4.702 0.000 0.000
0.000 6.235 0.000
0.000 0.000 6.018
Pr Ta As O
2 2 2 2
Cartesian
0.000 1.477 0.000 Pr
0.000 4.758 3.009 Pr
2.351 2.489 3.465 Ta
2.351 3.746 0.456 Ta
0.000 1.540 2.978 As
0.000 4.695 5.987 As
2.351 2.013 5.402 O
2.351 4.222 2.393 O
```

## Properties
Symmetry: Pmc2_1, No. 26
Energy relative to the lowest polymorph listed for this composition (meV/atom): 459
Magnetization (μB per atom): 0.001

***

Here is Ta4CoPbC2 after structural relaxation from OQMD via LeMat-Bulk. Energies are from PBE.

POSCAR file:
```
Ta4CoPbC2
1.0
3.157 0.000 0.000
-1.579 2.734 0.000
0.000 0.000 13.759
Ta Co Pb C
4 1 1 2
Cartesian
0.000 0.000 1.912 Ta
0.000 0.000 11.847 Ta
1.579 0.911 4.386 Ta
1.579 0.911 9.373 Ta
1.579 0.911 0.000 Co
0.000 0.000 6.880 Pb
0.000 1.823 3.158 C
0.000 1.823 10.601 C
```

## Properties
Symmetry: P-6m2, No. 187
Magnetization (μB per atom): 0.056

***

Here is TaZnCuPt after structural relaxation from OQMD via LeMat-Bulk. Energies are from PBE.

POSCAR file:
```
TaZnCuPt
1.0
0.000 3.104 3.104
3.104 0.000 3.104
3.104 3.104 0.000
Ta Zn Cu Pt
1 1 1 1
Cartesian
0.000 0.000 0.000 Ta
1.552 1.552 1.552 Zn
3.104 3.104 3.104 Cu
4.655 4.655 4.655 Pt
```

## Properties
Symmetry: F-43m, No. 216
Calculated formation energy (kcal/mol of atoms): -5.7
Energy relative to the lowest polymorph listed for this composition (meV/atom): 63
Magnetization (μB per atom): 0.000

***

Here is Cd4As2I3 after structural relaxation from OQMD via LeMat-Bulk. Energies are from PBE.

POSCAR file:
```
Cd4As2I3
1.0
13.135 0.000 0.000
0.000 13.135 0.000
0.000 0.000 13.135
Cd As I
32 16 24
Cartesian
0.010 3.208 6.969 Cd
0.010 3.360 0.402 Cd
0.402 0.010 3.360 Cd
0.402 6.557 9.927 Cd
2.871 2.871 2.871 Cd
2.871 3.697 9.438 Cd
3.208 6.969 0.010 Cd
3.208 12.733 6.578 Cd
3.360 0.402 0.010 Cd
3.360 6.166 6.578 Cd
3.697 9.438 2.871 Cd
3.697 10.264 9.438 Cd
6.166 6.578 3.360 Cd
6.166 13.125 9.927 Cd
6.557 9.775 6.969 Cd
6.557 9.927 0.402 Cd
6.578 3.208 12.733 Cd
6.578 3.360 6.166 Cd
6.969 0.010 3.208 Cd
6.969 6.557 9.775 Cd
9.438 2.871 3.697 Cd
9.438 3.697 10.264 Cd
9.775 6.969 6.557 Cd
9.775 12.733 13.125 Cd
9.927 0.402 6.557 Cd
9.927 6.166 13.125 Cd
10.264 9.438 3.697 Cd
10.264 10.264 10.264 Cd
12.733 6.578 3.208 Cd
12.733 13.125 9.775 Cd
13.125 9.775 12.733 Cd
13.125 9.927 6.166 Cd
0.705 7.272 12.430 As
0.705 12.430 5.863 As
1.370 1.370 1.370 As
1.370 5.198 7.937 As
5.198 7.937 1.370 As
5.198 11.765 7.937 As
5.863 0.705 12.430 As
5.863 5.863 5.863 As
7.272 7.272 7.272 As
7.272 12.430 0.705 As
7.937 1.370 5.198 As
7.937 5.198 11.765 As
11.765 7.937 5.198 As
11.765 11.765 11.765 As
12.430 0.705 7.272 As
12.430 5.863 0.705 As
0.804 9.735 9.051 I
0.804 9.967 2.484 I
2.484 0.804 9.967 I
2.484 5.763 3.400 I
3.168 9.051 5.763 I
3.168 10.651 12.330 I
3.400 2.484 5.763 I
3.400 4.084 12.330 I
4.084 7.372 9.967 I
4.084 12.330 3.400 I
5.763 3.168 9.051 I
5.763 3.400 2.484 I
7.372 9.735 10.651 I
7.372 9.967 4.084 I
9.051 0.804 9.735 I
9.051 5.763 3.168 I
9.735 9.051 0.804 I
9.735 10.651 7.372 I
9.967 2.484 0.804 I
9.967 4.084 7.372 I
10.651 7.372 9.735 I
10.651 12.330 3.168 I
12.330 3.168 10.651 I
12.330 3.400 4.084 I
```

## Properties
Symmetry: Pa-3, No. 205

***

no.,E_tot (eV for the cell shown)
1,-63.00
2,-78.26
3,-23.87
4,-165.96